# Rb2NiSF6, optimized geometry, DFT PBE with a Hubbard U
# * magnetic moment: 4.00 μB/cell
# * crystal system: tetragonal
# * E_tot: -40.2 eV/f.u.
data_Rb2NiSF6
_chemical_formula_sum 'Rb4 Ni2 S2 F12'
_cell_length_a 5.671
_cell_length_b 5.671
_cell_length_c 10.555
_cell_angle_alpha 90.00
_cell_angle_beta 90.00
_cell_angle_gamma 90.00
_symmetry_space_group_name_H-M 'I 4/m m m'
_symmetry_Int_Tables_number 139
_symmetry_space_group_name_Hall '-I 4 2'
loop_
_atom_site_label
_atom_site_fract_x
_atom_site_fract_y
_atom_site_fract_z
Rb1 0.000 0.500 0.250
Ni1 0.000 0.000 0.000
S1 0.000 0.000 0.500
F1 0.000 0.000 0.183
F2 0.240 0.240 0.500